# 1
VASP calculation (PBE) on a geometry-optimized Na2PuAuS4 structure.

abc: 7.0443 7.0443 6.6195
angles: 90.00 90.00 90.00
With the nearest neighbours (Å) after each atom.
Space group I-42m (No. 121)
Symmetry-distinct sites (fractional):
Na  0.0000  0.5000  0.0000 (multiplicity 4)  8 S 2.98-3.09, 2 Na 3.31
Pu  0.0000  0.0000  0.0000 (multiplicity 2)  4 S 2.64
Au  0.0000  0.0000  0.5000 (multiplicity 2)  4 S 2.51
S  0.1976  0.1976  0.2651 (multiplicity 8)  1 Au 2.51, 1 Pu 2.64

# 2
VASP calculation (PBE) on a geometry-optimized Na3Pu2AuS6 structure.

abc: 6.8925 11.6130 7.0908
angles: 90.00 109.44 90.00
With the nearest neighbours (Å) after each atom.
Space group C2/m (No. 12)
Symmetry-distinct sites (fractional):
Na  0.0000  0.0000  0.0000 (multiplicity 2)  6 S 2.80-2.91
Na  0.0000  0.3398  0.0000 (multiplicity 4)  6 S 2.88-2.99
Pu  0.0000  0.1681  0.5000 (multiplicity 4)  6 S 2.68-2.72
Au  0.0000  0.5000  0.5000 (multiplicity 2)  6 S 2.74-2.91
S  0.2228  0.0000  0.7333 (multiplicity 4)  2 Pu 2.69, 3 Na 2.80-2.88, 1 Au 2.91
S  0.2471  0.3307  0.7242 (multiplicity 8)  2 Pu 2.68-2.72, 1 Au 2.74, 3 Na 2.91-2.99

# 3
VASP calculation (PBE) on a geometry-optimized NaPu2Sb2Au2 structure.

abc: 4.8744 4.8744 27.2460
angles: 90.00 90.00 120.00
With the nearest neighbours (Å) after each atom.
Space group R-3m (No. 166, hexagonal axes)
Symmetry-distinct sites (fractional):
Na  0.0000  0.0000  0.0000 (multiplicity 3)  6 Sb 3.44
Pu  0.0000  0.0000  0.1427 (multiplicity 6)  3 Au 2.96, 3 Pu 3.10, 1 Sb 3.21
Sb  0.0000  0.0000  0.2604 (multiplicity 6)  3 Au 2.98, 1 Pu 3.21
Au  0.0000  0.0000  0.4418 (multiplicity 6)  3 Pu 2.96, 3 Sb 2.98, 1 Au 3.17

Number 1: formation energy without anion corrections -0.776 eV per atom, VASP energy -5.370 eV/atom. Number 2: formation energy without anion corrections -1.156 eV per atom, VASP energy -6.211 eV/atom. Number 3: formation energy without anion corrections -0.406 eV per atom, VASP energy -6.804 eV/atom.